[1]
An optimized crystal structure of MoP. Source: the Alexandria database, functional PBEsol.

Summary:
Magnetization (μB/f.u.): 0.00
Energy relative to the elements (meV per atom): 67

The structure in CIF format:
```
data_MoP
_symmetry_space_group_name_H-M 'P -3 m 1'
_symmetry_Int_Tables_number 164
_symmetry_space_group_name_Hall '-P 3 2"'
_cell_length_a 2.9671
_cell_length_b 2.9671
_cell_length_c 8.1342
_cell_angle_alpha 90.00
_cell_angle_beta 90.00
_cell_angle_gamma 120.00
loop_
_atom_site_label
_atom_site_fract_x
_atom_site_fract_y
_atom_site_fract_z
Mo1 0.3333 0.6667 0.1347
P1 0.3333 0.6667 0.6555
```

[2]
An optimized crystal structure of KVH4O7. Source: the Alexandria database, functional PBEsol.

Summary:
Final energy (eV/atom): -5.975
Magnetization (μB/f.u.): 0.00

The structure in CIF format:
```
data_KVH4O7
_symmetry_space_group_name_H-M 'P 1'
_symmetry_Int_Tables_number 1
_cell_length_a 6.461
_cell_length_b 7.378
_cell_length_c 7.675
_cell_angle_alpha 67.47
_cell_angle_beta 65.71
_cell_angle_gamma 82.47
loop_
_symmetry_equiv_pos_as_xyz
'x,y,z'
loop_
_atom_site_label
_atom_site_fract_x
_atom_site_fract_y
_atom_site_fract_z
K1 0.000 0.000 0.000
K2 0.188 0.461 0.426
V1 0.525 0.253 0.878
V2 0.675 0.046 0.573
H1 0.098 0.526 0.069
H2 0.127 0.854 0.546
H3 0.356 0.898 0.333
H4 0.426 0.789 0.582
H5 0.586 0.725 0.024
H6 0.624 0.663 0.672
H7 0.654 0.510 0.030
H8 0.843 0.590 0.152
O1 0.278 0.801 0.476
O2 0.293 0.357 0.972
O3 0.373 0.133 0.627
O4 0.445 0.988 0.958
O5 0.516 0.279 0.609
O6 0.536 0.018 0.089
O7 0.536 0.789 0.653
O8 0.599 0.593 0.118
O9 0.745 0.461 0.696
O10 0.757 0.366 0.896
O11 0.803 0.103 0.330
O12 0.877 0.905 0.695
O13 0.878 0.112 0.658
O14 0.998 0.605 0.149
```